## GaB3Se (PBE-GGA)

Data for a relaxed GaB3Se crystal.

Summary:
uncorrected formation energy = 1.81 eV/atom
D(E_F) = 1.2 states/eV per cell
total magnetic moment = 0.0 μB per formula unit

extended XYZ file:
```
5
Lattice="-2.7228 -1.6771 2.7287 -0.7563 -3.1436 -2.6867 3.1124 -2.2310 1.7344" Properties=species:S:1:pos:R:3 pbc="T T T"
B -0.3781 -1.5718 -1.3434
B 1.5562 -1.1155 0.8672
B -1.3614 -0.8386 1.3644
Ga 0.0000 0.0000 0.0000
Se -0.1833 -3.5259 0.8882
```